[1]
The following is a GGA-PBE calculation of a geometry-optimized Sc2Nb2Hg structure, from the Alexandria database.

Calculated values
* crystal system: tetragonal
* formation energy from the elements: 163 meV/atom

Cell lengths 7.4765, 7.4765, 3.7994 Å; angles 90.00, 90.00, 90.00 degrees
Fractional positions:
Nb  0.3763  0.8763  0.0000
Nb  0.6237  0.1237  0.0000
Nb  0.8763  0.6237  0.0000
Nb  0.1237  0.3763  0.0000
Sc  0.1712  0.6712  0.5000
Sc  0.6712  0.8288  0.5000
Sc  0.8288  0.3288  0.5000
Sc  0.3288  0.1712  0.5000
Hg  0.0000  0.0000  0.0000
Hg  0.5000  0.5000  0.0000

***

[2]
The following is a GGA-PBE calculation of a geometry-optimized ScNbHg2 structure, from the Alexandria database.

Calculated values
* crystal system: cubic
* formation energy from the elements: 48 meV/atom
* E above lowest polymorph: 1.76 kcal/mol of atoms

Cell lengths 4.8760, 4.8760, 4.8760 Å; angles 60.00, 60.00, 60.00 degrees
Fractional positions:
Hg  0.7500  0.7500  0.7500
Hg  0.2500  0.2500  0.2500
Sc  0.0000  0.0000  0.0000
Nb  0.5000  0.5000  0.5000

***

[3]
The following is a GGA-PBE calculation of a geometry-optimized ScNb2SiHg structure, from the Alexandria database.

Calculated values
* crystal system: tetragonal
* raw formation energy: 325 meV/atom

Cell lengths 4.7266, 4.8585, 4.7266 Å; angles 90.00, 90.00, 90.00 degrees
Fractional positions:
Hg  0.5000  0.5000  0.5000
Si  0.0000  0.0000  0.0000
Sc  0.0000  0.5000  0.0000
Nb  0.5000  0.0000  0.0000
Nb  0.0000  0.0000  0.5000

***

[4]
The following is a GGA-PBE calculation of a geometry-optimized ScTaNbHg2 structure, from the Alexandria database.

Calculated values
* crystal system: tetragonal
* formation energy from the elements: 1608 meV/atom

Cell lengths 5.0787, 4.7387, 5.0787 Å; angles 90.00, 90.00, 90.00 degrees
Fractional positions:
Sc  0.0000  0.0000  0.0000
Hg  0.0000  0.0000  0.5000
Hg  0.5000  0.0000  0.0000
Ta  0.0000  0.5000  0.0000
Nb  0.5000  0.5000  0.5000

***

[5]
The following is a GGA-PBE calculation of a geometry-optimized Sc2TaNbHg structure, from the Alexandria database.

Calculated values
* crystal system: tetragonal
* formation energy from the elements: 1332 meV/atom

Cell lengths 5.0659, 5.1479, 5.0659 Å; angles 90.00, 90.00, 90.00 degrees
Fractional positions:
Sc  0.5000  0.0000  0.0000
Sc  0.0000  0.0000  0.5000
Nb  0.5000  0.5000  0.5000
Hg  0.0000  0.0000  0.0000
Ta  0.0000  0.5000  0.0000

***

[6]
The following is a GGA-PBE calculation of a geometry-optimized ScNbHgW2 structure, from the Alexandria database.

Calculated values
* crystal system: tetragonal
* formation energy from the elements: 2099 meV/atom

Cell lengths 4.6481, 4.9546, 4.6481 Å; angles 90.00, 90.00, 90.00 degrees
Fractional positions:
Hg  0.0000  0.5000  0.0000
Sc  0.0000  0.0000  0.0000
W  0.5000  0.0000  0.0000
W  0.0000  0.0000  0.5000
Nb  0.5000  0.5000  0.5000

***

| no. | final energy (Ha/atom) | theoretical density (g/cm3) |
| --- | --- | --- |
| 1 | -0.2373 | 7.449 |
| 2 | -0.1545 | 10.919 |
| 3 | -0.2247 | 7.029 |
| 4 | -0.1530 | 9.782 |
| 5 | -0.2075 | 7.093 |
| 6 | -0.2361 | 10.954 |